(1)
The following is a PBE calculation of a relaxed Ac6Ag2P crystal, from Alexandria via LeMat-Bulk.

Computed properties:
For the formation energy, the calculation gives -331 kJ/mol of formula units. As for the energy: -4.355 eV/atom. Its space group is No. 14. For the density of states at the Fermi level, the calculation gives 1.093 states/eV per atom. The magnetization comes out at 0.00 μB/f.u.

Lattice parameters (Å, degrees): 7.254 8.217 11.343 90.00 87.57 90.00
Fractional positions:
Ac (0.149, 0.034, 0.249)
Ac (0.156, 0.323, 0.568)
Ac (0.166, 0.307, 0.936)
Ac (0.334, 0.807, 0.564)
Ac (0.344, 0.823, 0.932)
Ac (0.351, 0.534, 0.251)
Ac (0.851, 0.966, 0.751)
Ac (0.844, 0.677, 0.432)
Ac (0.834, 0.693, 0.064)
Ac (0.666, 0.193, 0.436)
Ac (0.656, 0.177, 0.068)
Ac (0.649, 0.466, 0.749)
Ag (0.069, 0.614, 0.764)
Ag (0.431, 0.114, 0.736)
Ag (0.569, 0.886, 0.264)
Ag (0.931, 0.386, 0.236)
P (0.500, 0.500, 0.000)
P (0.000, 0.000, 0.500)


(2)
The following is a PBE calculation of a relaxed TbEr2Lu crystal, from Alexandria via LeMat-Bulk.

Computed properties:
The energy relative to the lowest polymorph listed for this composition comes out at 0.00 eV per formula unit. For the formation energy, the calculation gives 10 kJ/mol of formula units. As for the energy: -4.543 eV/atom. Its space group is No. 123. For the density of states at the Fermi level, the calculation gives 1.333 states/eV per atom. The magnetization comes out at 0.00 μB/f.u.

Lattice parameters (Å, degrees): 3.498 3.498 9.918 90.00 90.00 90.00
Fractional positions:
Lu (0.500, 0.500, 0.000)
Tb (0.500, 0.500, 0.500)
Er (0.000, 0.000, 0.753)
Er (0.000, 0.000, 0.247)


(3)
The following is a PBE calculation of a relaxed Ho4InHgO crystal, from Alexandria via LeMat-Bulk.

Computed properties:
The value obtained for the formation energy from raw total energies is -1086.9 meV per atom. As for the energy: -4.845 eV/atom. Its space group is No. 63. For the density of states at the Fermi level, the calculation gives 0.590 states/eV per atom. The magnetization comes out at 0.00 μB/f.u.

Lattice parameters (Å, degrees): 6.548 6.555 8.602 90.00 112.37 90.00
Fractional positions:
Ho (0.929, 0.250, 0.857)
Ho (0.419, 0.750, 0.837)
Ho (0.071, 0.750, 0.143)
Ho (0.581, 0.250, 0.163)
Ho (0.500, 0.500, 0.500)
Ho (0.000, 0.000, 0.500)
Ho (0.500, 0.000, 0.500)
Ho (0.000, 0.500, 0.500)
In (0.612, 0.750, 0.225)
In (0.388, 0.250, 0.775)
Hg (0.117, 0.250, 0.234)
Hg (0.883, 0.750, 0.766)
O (0.254, 0.750, 0.509)
O (0.746, 0.250, 0.491)


(4)
The following is a PBE calculation of a relaxed CaCd2GaAu4 crystal, from Alexandria via LeMat-Bulk.

Computed properties:
For the formation energy, the calculation gives -261 kJ/mol of formula units. As for the energy: -2.834 eV/atom. Its space group is No. 166. For the density of states at the Fermi level, the calculation gives 0.305 states/eV per atom. The magnetization comes out at 0.00 μB/f.u.

Lattice parameters (Å, degrees): 4.801 4.801 8.590 73.77 73.77 60.00
Fractional positions:
Ca (0.000, 0.000, 0.000)
Cd (0.746, 0.746, 0.762)
Cd (0.254, 0.254, 0.238)
Ga (0.500, 0.500, 0.500)
Au (0.390, 0.390, 0.831)
Au (0.870, 0.870, 0.390)
Au (0.130, 0.130, 0.610)
Au (0.610, 0.610, 0.169)


(5)
The following is a PBE calculation of a relaxed CeCu5Sn crystal, from Alexandria via LeMat-Bulk.

Computed properties:
For the formation energy, the calculation gives -153 kJ/mol of formula units. As for the energy: -4.571 eV/atom. Its space group is No. 62. For the density of states at the Fermi level, the calculation gives 0.968 states/eV per atom. The magnetization comes out at 0.55 μB/f.u.

Lattice parameters (Å, degrees): 5.073 8.338 10.603 90.00 90.00 90.00
Fractional positions:
Ce (0.750, 0.253, 0.942)
Ce (0.250, 0.747, 0.058)
Ce (0.750, 0.753, 0.558)
Ce (0.250, 0.247, 0.442)
Cu (0.001, 0.572, 0.313)
Cu (0.499, 0.572, 0.313)
Cu (0.501, 0.428, 0.687)
Cu (0.750, 0.821, 0.244)
Cu (0.250, 0.179, 0.756)
Cu (0.250, 0.434, 0.895)
Cu (0.001, 0.072, 0.187)
Cu (0.250, 0.079, 0.983)
Cu (0.501, 0.928, 0.813)
Cu (0.750, 0.066, 0.395)
Cu (0.750, 0.921, 0.017)
Cu (0.250, 0.579, 0.517)
Cu (0.999, 0.428, 0.687)
Cu (0.750, 0.321, 0.256)
Cu (0.750, 0.421, 0.483)
Cu (0.750, 0.566, 0.105)
Cu (0.499, 0.072, 0.187)
Cu (0.250, 0.934, 0.605)
Cu (0.250, 0.679, 0.744)
Cu (0.999, 0.928, 0.813)
Sn (0.250, 0.863, 0.360)
Sn (0.250, 0.363, 0.140)
Sn (0.750, 0.137, 0.640)
Sn (0.750, 0.637, 0.860)


(6)
The following is a PBE calculation of a relaxed CaFe2Tc crystal, from Alexandria via LeMat-Bulk.

Computed properties:
The energy relative to the lowest polymorph listed for this composition comes out at 0.55 eV per formula unit. For the formation energy, the calculation gives 194 kJ/mol of formula units. As for the energy: -6.821 eV/atom. Its space group is No. 8. For the density of states at the Fermi level, the calculation gives 1.165 states/eV per atom. The magnetization comes out at 3.83 μB/f.u.

Lattice parameters (Å, degrees): 4.744 4.744 5.281 76.71 76.71 35.34
Fractional positions:
Ca (0.253, 0.253, 0.235)
Tc (0.471, 0.471, 0.597)
Fe (0.032, 0.032, 0.929)
Fe (0.744, 0.744, 0.738)


(7)
The following is a PBE calculation of a relaxed Hf2NiSbRh crystal, from Alexandria via LeMat-Bulk.

Computed properties:
The value obtained for the formation energy from raw total energies is 541.6 meV per atom. As for the energy: -6.891 eV/atom. Its space group is No. 123. For the density of states at the Fermi level, the calculation gives 1.187 states/eV per atom. The magnetization comes out at 0.00 μB/f.u.

Lattice parameters (Å, degrees): 4.939 4.863 4.939 90.00 90.00 90.00
Fractional positions:
Sb (0.000, 0.500, 0.000)
Hf (0.000, 0.000, 0.500)
Hf (0.500, 0.000, 0.000)
Rh (0.000, 0.000, 0.000)
Ni (0.500, 0.500, 0.500)


(8)
The following is a PBE calculation of a relaxed SrTcNiSbH crystal, from Alexandria via LeMat-Bulk.

Computed properties:
The energy relative to the lowest polymorph listed for this composition comes out at 0.59 eV per formula unit. As for the energy: -5.163 eV/atom. Its space group is No. 160. For the density of states at the Fermi level, the calculation gives 0.928 states/eV per atom. The magnetization comes out at 0.01 μB/f.u.

Lattice parameters (Å, degrees): 4.391 4.391 16.737 90.00 90.00 120.00
Fractional positions:
Sr (0.000, 0.000, 0.121)
Sr (0.333, 0.667, 0.788)
Sr (0.667, 0.333, 0.454)
Tc (0.000, 0.000, 0.640)
Tc (0.333, 0.667, 0.307)
Tc (0.667, 0.333, 0.974)
Ni (0.000, 0.000, 0.324)
Ni (0.333, 0.667, 0.991)
Ni (0.667, 0.333, 0.657)
Sb (0.000, 0.000, 0.917)
Sb (0.333, 0.667, 0.583)
Sb (0.667, 0.333, 0.250)
H (0.000, 0.000, 0.541)
H (0.333, 0.667, 0.208)
H (0.667, 0.333, 0.874)


(9)
The following is a PBE calculation of a relaxed Nd2ScAu crystal, from Alexandria via LeMat-Bulk.

Computed properties:
The energy relative to the lowest polymorph listed for this composition comes out at 1.48 eV per formula unit. For the formation energy, the calculation gives 18 kJ/mol of formula units. As for the energy: -4.740 eV/atom. Its space group is No. 166. For the density of states at the Fermi level, the calculation gives 1.337 states/eV per atom. The magnetization comes out at 0.00 μB/f.u.

Lattice parameters (Å, degrees): 3.427 3.427 11.503 81.43 81.43 60.00
Fractional positions:
Sc (0.000, 0.000, 0.000)
Nd (0.095, 0.095, 0.714)
Nd (0.905, 0.905, 0.286)
Au (0.500, 0.500, 0.500)


(10)
The following is a PBE calculation of a relaxed TaP2OsCl crystal, from Alexandria via LeMat-Bulk.

Computed properties:
The value obtained for the formation energy from raw total energies is 1130.9 meV per atom. The energy relative to the lowest polymorph listed for this composition comes out at 1.90 eV per formula unit. As for the energy: -6.019 eV/atom. Its space group is No. 123. For the density of states at the Fermi level, the calculation gives 0.899 states/eV per atom. The magnetization comes out at 2.64 μB/f.u.

Lattice parameters (Å, degrees): 4.547 4.547 4.796 90.00 90.00 90.00
Fractional positions:
P (0.000, 0.500, 0.000)
P (0.500, 0.000, 0.000)
Cl (0.000, 0.000, 0.500)
Os (0.000, 0.000, 0.000)
Ta (0.500, 0.500, 0.500)


(11)
The following is a PBE calculation of a relaxed Pm6MgTc2 crystal, from Alexandria via LeMat-Bulk.

Computed properties:
For the formation energy, the calculation gives 1 kJ/mol of formula units. As for the energy: -5.647 eV/atom. Its space group is No. 71. For the density of states at the Fermi level, the calculation gives 1.115 states/eV per atom. The magnetization comes out at 0.00 μB/f.u.

Lattice parameters (Å, degrees): 8.781 8.781 8.781 105.90 111.18 111.40
Fractional positions:
Pm (0.524, 0.715, 0.809)
Pm (0.476, 0.285, 0.191)
Pm (0.094, 0.285, 0.809)
Pm (0.906, 0.715, 0.191)
Pm (0.785, 0.770, 0.555)
Pm (0.215, 0.230, 0.445)
Pm (0.215, 0.770, 0.985)
Pm (0.785, 0.230, 0.015)
Pm (0.706, 0.395, 0.689)
Pm (0.294, 0.605, 0.311)
Pm (0.294, 0.983, 0.689)
Pm (0.706, 0.017, 0.311)
Mg (0.000, 0.500, 0.500)
Mg (0.000, 0.000, 0.000)
Tc (0.500, 0.388, 0.888)
Tc (0.500, 0.612, 0.112)
Tc (0.622, 0.000, 0.622)
Tc (0.378, 0.000, 0.378)